[1]
Density functional theory data (PBE) for a relaxed LiNb3C crystal.

Properties
Volume = 16.1 Å³/atom
Final energy = -0.301 Ha/atom
M_tot = 0.0 μB per formula unit
Formation enthalpy at 0 K = 76.4 meV/atom
E above lowest polymorph = 0.00 kcal/mol of atoms

a = 4.3173 Å, b = 4.3173 Å, c = 4.3173 Å
α = 90.00°, β = 90.00°, γ = 90.00°
Fractional coordinates of all 5 atoms:
Nb 0.0000 0.5000 0.0000
Nb 0.0000 0.0000 0.5000
Nb 0.5000 0.0000 0.0000
C 0.0000 0.0000 0.0000
Li 0.5000 0.5000 0.5000


[2]
Density functional theory data (PBE) for a relaxed AcHoTe2O8 crystal.

Properties
Volume = 17.0 Å³/atom
ΔE_f (raw) = -1.93 eV per atom
Final energy = -0.238 Ha/atom
M_tot = 0.0 μB per formula unit

a = 6.4372 Å, b = 6.4372 Å, c = 6.4372 Å
α = 107.30°, β = 107.30°, γ = 113.90°
Fractional coordinates of all 12 atoms:
Ac 0.0000 0.0000 0.0000
Ho 0.2500 0.7500 0.5000
Te 0.7500 0.2500 0.5000
Te 0.5000 0.5000 0.0000
O 0.3854 0.0596 0.3257
O 0.3078 0.5048 0.1970
O 0.3078 0.1107 0.8030
O 0.7339 0.0596 0.6743
O 0.8893 0.6922 0.1970
O 0.9404 0.2661 0.3257
O 0.9404 0.6146 0.6743
O 0.4952 0.6922 0.8030


[3]
Density functional theory data (PBE) for a relaxed Li2BrF6 crystal.

Properties
Volume = 13.7 Å³/atom
ΔE_f (raw) = -1.69 eV per atom
Final energy = -0.131 Ha/atom
M_tot = 1.0 μB per formula unit

a = 5.7171 Å, b = 8.6846 Å, c = 8.6846 Å
α = 63.78°, β = 49.04°, γ = 49.04°
Site moments in Bohr magnetons follow the coordinates.
Fractional coordinates of all 18 atoms:
Li 0.0000 0.6918 0.8081  0.00
Li 0.5000 0.1919 0.3082  0.00
Li 0.0000 0.3082 0.1919  0.00
Li 0.5000 0.8081 0.6918  0.00
Br 0.2500 0.2499 0.7501  0.45
Br 0.7500 0.7501 0.2499  0.45
F 0.4321 0.7092 0.5627  0.09
F 0.0679 0.4373 0.2908  0.09
F 0.5679 0.2908 0.4373  0.09
F 0.9321 0.5627 0.7092  0.09
F 0.8313 0.8557 0.3558  0.04
F 0.6687 0.6442 0.1443  0.04
F 0.1687 0.1443 0.6442  0.04
F 0.3313 0.3558 0.8557  0.04
F 0.0676 0.7909 0.9371  0.09
F 0.4324 0.0629 0.2091  0.09
F 0.9324 0.2091 0.0629  0.09
F 0.5676 0.9371 0.7909  0.09


[4]
Density functional theory data (PBE) for a relaxed LiFeH crystal.

Properties
Volume = 8.6 Å³/atom
Final energy = -0.169 Ha/atom
M_tot = 1.6 μB per formula unit

a = 4.4273 Å, b = 2.5778 Å, c = 4.7029 Å
α = 90.00°, β = 106.95°, γ = 90.00°
Site moments in Bohr magnetons follow the coordinates.
Fractional coordinates of all 6 atoms:
Li 0.7576 0.2500 0.4950  -0.04
Li 0.2424 0.7500 0.5050  -0.04
Fe 0.2411 0.2500 0.0093  1.71
Fe 0.7589 0.7500 0.9907  1.71
H 0.5179 0.2500 0.7976  -0.02
H 0.4821 0.7500 0.2024  -0.02


[5]
Density functional theory data (PBE) for a relaxed Nd2Ga5Ir3 crystal.

Properties
Volume = 18.8 Å³/atom
Final energy = -0.216 Ha/atom
M_tot = 0.0 μB per formula unit
Formation enthalpy at 0 K = -743.3 meV/atom

a = 5.8163 Å, b = 8.6604 Å, c = 8.6604 Å
α = 71.38°, β = 70.38°, γ = 70.38°
Fractional coordinates of all 20 atoms:
Nd 0.1377 0.5911 0.1336
Nd 0.6377 0.1336 0.5911
Nd 0.8623 0.4089 0.8664
Nd 0.3623 0.8664 0.4089
Ga 0.4099 0.2616 0.9187
Ga 0.9099 0.9187 0.2616
Ga 0.5901 0.7384 0.0813
Ga 0.0901 0.0813 0.7384
Ga 0.4563 0.7937 0.7937
Ga 0.5437 0.2063 0.2063
Ga 0.7500 0.5000 0.5000
Ga 0.2500 0.5000 0.5000
Ga 0.0437 0.2063 0.2063
Ga 0.9563 0.7937 0.7937
Ir 0.3516 0.5535 0.7432
Ir 0.8516 0.7432 0.5535
Ir 0.6484 0.4465 0.2568
Ir 0.1484 0.2568 0.4465
Ir 0.2500 0.0000 0.0000
Ir 0.7500 0.0000 0.0000


[6]
Density functional theory data (PBE) for a relaxed NiAgPt crystal.

Properties
Volume = 14.8 Å³/atom
Final energy = -0.177 Ha/atom
M_tot = 0.7 μB per formula unit
Formation enthalpy at 0 K = 86.0 meV/atom
E above lowest polymorph = 1.10 kcal/mol of atoms

a = 4.6588 Å, b = 2.7643 Å, c = 7.0729 Å
α = 90.00°, β = 102.02°, γ = 90.00°
Site moments in Bohr magnetons follow the coordinates.
Fractional coordinates of all 6 atoms:
Ni 0.7256 0.0000 0.3594  0.62
Ni 0.9811 0.5000 0.6310  0.64
Pt 0.6248 0.5000 0.0451  0.11
Pt 0.5070 0.0000 0.6806  0.17
Ag 0.0971 0.0000 0.9558  -0.01
Ag 0.2187 0.5000 0.3244  -0.01


[7]
Density functional theory data (PBE) for a relaxed Li5CaTl crystal.

Properties
Volume = 23.7 Å³/atom
Final energy = -0.075 Ha/atom
M_tot = 0.0 μB per formula unit
Formation enthalpy at 0 K = -58.3 meV/atom

a = 4.0395 Å, b = 4.0395 Å, c = 10.1770 Å
α = 90.00°, β = 90.00°, γ = 90.00°
Fractional coordinates of all 7 atoms:
Li 0.0000 0.5000 0.2191
Li 0.0000 0.5000 0.7809
Li 0.5000 0.0000 0.2191
Li 0.5000 0.0000 0.7809
Li 0.0000 0.0000 0.0000
Ca 0.0000 0.0000 0.5000
Tl 0.5000 0.5000 0.0000


[8]
Density functional theory data (PBE) for a relaxed NaHf3In crystal.

Properties
Volume = 30.7 Å³/atom
Final energy = -0.201 Ha/atom
M_tot = 1.3 μB per formula unit
Formation enthalpy at 0 K = 1315.2 meV/atom
E above lowest polymorph = 0.00 kcal/mol of atoms

a = 5.3522 Å, b = 5.3522 Å, c = 5.3522 Å
α = 90.00°, β = 90.00°, γ = 90.00°
Site moments in Bohr magnetons follow the coordinates.
Fractional coordinates of all 5 atoms:
Na 0.5000 0.5000 0.5000  0.01
Hf 0.0000 0.5000 0.0000  0.21
Hf 0.0000 0.0000 0.5000  0.20
Hf 0.5000 0.0000 0.0000  0.21
In 0.0000 0.0000 0.0000  0.02


Question: Which formula does entry 4 have?
Answer: LiFeH